[1]
! CoSn3N (PBE, relaxed); values from VASP
! Space-group type: Pm-3m, No. 221
! ρ (g/cm³): 6.5
! Uncorrected formation energy (kJ/mol of atoms): 83.99
! Crystal system: cubic
&SYSTEM
  ibrav = 0, nat = 5, ntyp = 3
/
ATOMIC_SPECIES
Co 58.93 Co.upf
Sn 118.71 Sn.upf
N 14.01 N.upf
CELL_PARAMETERS angstrom
4.7750 0.0000 0.0000
0.0000 4.7750 0.0000
0.0000 0.0000 4.7750
ATOMIC_POSITIONS angstrom
Co 0.0000 0.0000 0.0000
Sn 0.0000 2.3875 0.0000
Sn 0.0000 0.0000 2.3875
Sn 2.3875 0.0000 0.0000
N 2.3875 2.3875 2.3875


[2]
! Sr2CoSnN (PBE, relaxed); values from VASP
! Space-group type: P4/mmm, No. 123
! ρ (g/cm³): 5.3
! Uncorrected formation energy (kJ/mol of atoms): -42.40
! Crystal system: tetragonal
&SYSTEM
  ibrav = 0, nat = 5, ntyp = 4
/
ATOMIC_SPECIES
Sr 87.62 Sr.upf
Co 58.93 Co.upf
Sn 118.71 Sn.upf
N 14.01 N.upf
CELL_PARAMETERS angstrom
5.6865 0.0000 0.0000
0.0000 5.6865 0.0000
0.0000 0.0000 3.5551
ATOMIC_POSITIONS angstrom
Sr 0.0000 2.8432 0.0000
Sr 2.8432 0.0000 0.0000
Co 0.0000 0.0000 1.7776
Sn 2.8432 2.8432 1.7776
N 0.0000 0.0000 0.0000